[1]
VASP calculation (PBE) on a relaxed K2PmZrS4 crystal.

Cell: 3.943 6.896 7.754 Å, 106.89 90.00 90.00°
Fractional positions:
K1 0.500 0.000 0.500
K2 0.000 0.500 0.500
Pm1 0.000 0.000 0.000
Zr1 0.500 0.500 0.000
S1 0.500 0.254 0.207
S2 0.500 0.746 0.793
S3 0.000 0.283 0.800
S4 0.000 0.717 0.200

Computed properties:
* calculated density: 3.6 g/cm3
* energy: -0.2074 Ha/atom
* SG: P2/m
* energy relative to the elements, uncorrected: -13.15 eV/f.u.

[2]
VASP calculation (PBE) on a relaxed Si3OsRh crystal.

Cell: 4.568 4.568 4.568 Å, 90.00 90.00 90.00°
Fractional positions:
Rh1 0.500 0.500 0.500
Si1 0.000 0.500 0.000
Si2 0.000 0.000 0.500
Si3 0.500 0.000 0.000
Os1 0.000 0.000 0.000

Computed properties:
* calculated density: 6.6 g/cm3
* energy above the lowest structure with this stoichiometry: 0.000 eV per atom
* energy: -0.2299 Ha/atom
* SG: Pm-3m
* energy relative to the elements, uncorrected: 3.57 eV/f.u.

[3]
VASP calculation (PBE) on a relaxed Sm4In3Ag crystal.

Cell: 3.645 3.645 16.530 Å, 90.00 90.00 90.00°
Fractional positions:
Ag1 0.500 0.500 0.000
Sm1 0.000 0.000 0.884
Sm2 0.000 0.000 0.116
Sm3 0.000 0.000 0.372
Sm4 0.000 0.000 0.628
In1 0.500 0.500 0.242
In2 0.500 0.500 0.500
In3 0.500 0.500 0.758

Computed properties:
* calculated density: 8.0 g/cm3
* energy: -0.1536 Ha/atom
* SG: P4/mmm
* formation enthalpy at 0 K: -42.27 kJ/mol of atoms